Record 1
A geometry-optimized CaMoPb structure. Source: the Alexandria database, functional GGA-PBE.

Properties
- Calculated formation energy: 549 meV per atom
- Polymorph energy (0 for the lowest one): 71 meV/atom

Structure (CIF):
```
data_CaMoPb
_space_group_name_H-M_alt 'P -6 m 2'
_space_group_IT_number 187
_space_group_name_Hall 'P -6 2'
_cell_length_a 5.0659
_cell_length_b 5.0659
_cell_length_c 3.1721
_cell_angle_alpha 90.00
_cell_angle_beta 90.00
_cell_angle_gamma 120.00
loop_
_atom_site_label
_atom_site_fract_x
_atom_site_fract_y
_atom_site_fract_z
Ca1 0.0000 0.0000 0.0000
Mo1 0.6667 0.3333 0.5000
Pb1 0.3333 0.6667 0.5000
```

Record 2
A geometry-optimized RbLiCd2Sb structure. Source: the Alexandria database, functional GGA-PBE.

Properties
- Formation energy (no corrections): 0.226 eV/atom

Structure (CIF):
```
data_RbLiCd2Sb
_space_group_name_H-M_alt 'P 4/m m m'
_space_group_IT_number 123
_space_group_name_Hall '-P 4 2'
_cell_length_a 5.760
_cell_length_b 5.760
_cell_length_c 6.874
_cell_angle_alpha 90.00
_cell_angle_beta 90.00
_cell_angle_gamma 90.00
loop_
_atom_site_label
_atom_site_fract_x
_atom_site_fract_y
_atom_site_fract_z
Rb1 0.000 0.000 0.000
Li1 0.500 0.500 0.000
Cd1 0.000 0.500 0.500
Sb1 0.000 0.000 0.500
```

Record 3
A geometry-optimized Be3HgPb structure. Source: the Alexandria database, functional GGA-PBE.

Properties
- Calculated formation energy: 844 meV per atom
- Polymorph energy (0 for the lowest one): 0 meV/atom

Structure (CIF):
```
data_Be3HgPb
_space_group_name_H-M_alt 'P m -3 m'
_space_group_IT_number 221
_space_group_name_Hall '-P 4 2 3'
_cell_length_a 4.564
_cell_length_b 4.564
_cell_length_c 4.564
_cell_angle_alpha 90.00
_cell_angle_beta 90.00
_cell_angle_gamma 90.00
loop_
_atom_site_label
_atom_site_fract_x
_atom_site_fract_y
_atom_site_fract_z
Be1 0.000 0.000 0.500
Hg1 0.000 0.000 0.000
Pb1 0.500 0.500 0.500
```

Record 4
A geometry-optimized Sm3Mg2Tl4 structure. Source: the Alexandria database, functional GGA-PBE.

Properties
- Calculated formation energy: -287 meV per atom

Structure (CIF):
```
data_Sm3Mg2Tl4
_space_group_name_H-M_alt 'C 1 2/m 1'
_space_group_IT_number 12
_cell_length_a 11.679
_cell_length_b 4.958
_cell_length_c 9.443
_cell_angle_alpha 90.00
_cell_angle_beta 116.40
_cell_angle_gamma 90.00
loop_
_space_group_symop_operation_xyz
'x,y,z'
'-x,-y,-z'
'-x,y,-z'
'x,-y,z'
'x+1/2,y+1/2,z'
'-x+1/2,-y+1/2,-z'
'-x+1/2,y+1/2,-z'
'x+1/2,-y+1/2,z'
loop_
_atom_site_label
_atom_site_fract_x
_atom_site_fract_y
_atom_site_fract_z
Sm1 0.000 0.000 0.000
Sm2 0.148 0.500 0.681
Mg1 0.151 0.500 0.324
Tl1 0.058 0.000 0.381
Tl2 0.193 0.500 0.046
```